[1]
# CePm2Ho7

An optimized crystal structure of CePm2Ho7 (PBE, the Alexandria database).

Cell: 6.5088 28.7797 3.4615 Å, 90.00 90.00 90.00°
Last column: nearest neighbours and their distance in Å.
Space group Cmmm (No. 65)
Inequivalent atoms, fractional coordinates:
Ce: 0.0000 0.0000 0.0000 x2  2 Ce 3.46, 12 Ho 3.68-3.69
Pm: 0.0000 0.2936 0.5000 x4  2 Pm 3.46, 8 Ho 3.53-3.73
Ho: 0.0000 0.1859 0.0000 x4  6 Ho 3.46, 6 Pm 3.55-3.73
Ho: 0.0000 0.5000 0.5000 x2  6 Ho 3.27-3.46
Ho: 0.2461 0.0980 0.5000 x8  7 Ho 3.20-3.46, 1 Pm 3.53

* D(E_F): 1.924 states/eV per atom
* energy of formation: 0.184 eV/atom



[2]
# PmSm2YMg

An optimized crystal structure of PmSm2YMg (PBE, the Alexandria database).

Cell: 5.9985 7.5249 7.2064 Å, 90.00 90.00 90.00°
Last column: nearest neighbours and their distance in Å.
Space group Pmma (No. 51)
Inequivalent atoms, fractional coordinates:
Pm: 0.2500 0.0000 0.1633 x2  6 Sm 3.56-3.76, 2 Pm 3.81
Sm: 0.2500 0.2154 0.6928 x4  1 Y 3.14, 1 Sm 3.24, 2 Mg 3.43
Y: 0.2500 0.5000 0.3749 x2  2 Mg 3.09, 2 Sm 3.14
Mg: 0.0000 0.5000 0.0000 x2  2 Mg 3.00, 2 Y 3.09

* D(E_F): 1.656 states/eV per atom
* energy of formation: 0.167 eV/atom